# 1
Material: Ca2MoPb
Method: DFT, PBE
State: optimized geometry

a b c (Å): 4.6259 3.4754 7.4039
angles (deg): 62.12 90.00 90.00
Closest atoms and distances in Å follow each position.
Fractional coordinates of all 4 atoms:
Pb  0.5000  0.7500  0.7500  2 Mo 3.27, 8 Ca 3.35, 2 Pb 3.48
Mo  0.5000  0.2500  0.2500  2 Pb 3.27, 8 Ca 3.29-3.30, 2 Mo 3.48
Ca  0.0000  0.9917  0.0086  4 Ca 3.16-3.48, 4 Mo 3.29-3.30, 4 Pb 3.35
Ca  0.0000  0.5083  0.4914  4 Ca 3.16-3.48, 4 Mo 3.29-3.30, 4 Pb 3.35



# 2
Material: Ca3MoPb
Method: DFT, PBE
State: optimized geometry

a b c (Å): 5.4874 5.4874 5.4874
angles (deg): 90.00 90.00 90.00
Closest atoms and distances in Å follow each position.
Fractional coordinates of all 5 atoms:
Pb  0.5000  0.5000  0.5000  12 Ca 3.88
Mo  0.0000  0.0000  0.0000  6 Ca 2.74
Ca  0.0000  0.5000  0.0000  2 Mo 2.74
Ca  0.0000  0.0000  0.5000  2 Mo 2.74
Ca  0.5000  0.0000  0.0000  2 Mo 2.74



Number 1: ΔE_f 405 meV per atom. Number 2: ΔE_f 701 meV per atom.